1.
## Cs2Pd2I (PBE)

Data for crystalline Cs2Pd2I at its relaxed geometry.

## Properties
ΔE_f (raw)   -0.16 eV/atom
Calculated density   6.225 Mg/m³
Volume   32.3 Å³ per atom
Space-group type   P4/mbm (127)
DOS(E_F)   0.45 states/eV per atom
Calculated total energy   -2.890 eV per atom

POSCAR file:
```
Cs2Pd2I
1.0
7.742 0.000 0.000
0.000 7.742 0.000
0.000 0.000 5.390
Cs I Pd
4 2 4
Cartesian
1.415 5.286 2.695
5.286 6.327 2.695
6.327 2.456 2.695
2.456 1.415 2.695
0.000 0.000 0.000
3.871 3.871 0.000
2.898 6.769 0.000
6.769 4.844 0.000
4.844 0.973 0.000
0.973 2.898 0.000
```

2.
## Cs4PdI6 (PBE)

Data for crystalline Cs4PdI6 at its relaxed geometry.

## Properties
ΔE_f (raw)   -1.10 eV/atom
Calculated density   3.965 Mg/m³
Volume   53.3 Å³ per atom
Space-group type   P4/mnc (128)
DOS(E_F)   0.16 states/eV per atom
Calculated total energy   -2.729 eV per atom

POSCAR file:
```
Cs4PdI6
1.0
-3.632 -9.632 -1.232
5.143 -0.792 -8.966
8.665 -3.948 5.319
Cs Pd I
8 2 12
Cartesian
1.864 -4.278 -0.620
9.331 -5.155 -2.253
8.313 -10.094 -4.259
5.178 -11.191 0.033
6.197 -6.252 2.039
4.999 -3.181 -4.913
0.845 -9.216 -2.626
3.980 -8.120 -6.918
0.756 -5.212 -5.099
4.333 -1.974 2.660
8.049 -5.334 -5.889
0.195 -7.913 -6.191
-0.957 -5.806 -2.750
5.434 -3.002 0.103
2.035 -0.927 1.250
3.053 -6.258 -3.689
2.469 -4.617 -7.448
6.630 -3.021 4.070
1.316 -2.510 -4.007
7.124 -8.113 -1.190
4.743 -11.370 -4.982
2.127 -9.038 1.009
```

3.
## Cs3PdI6 (PBE)

Data for crystalline Cs3PdI6 at its relaxed geometry.

## Properties
ΔE_f (raw)   -0.93 eV/atom
Calculated density   4.094 Mg/m³
Volume   51.4 Å³ per atom
Space-group type   P2_1/c (14)
DOS(E_F)   0.14 states/eV per atom
Calculated total energy   -2.635 eV per atom

POSCAR file:
```
Cs3PdI6
1.0
-5.075 6.968 -0.434
-4.143 -3.505 -7.845
-8.524 -5.753 7.072
Cs Pd I
6 2 12
Cartesian
-12.821 -3.789 -2.162
-4.609 1.731 -4.139
-4.920 1.498 0.955
-4.646 -3.232 -2.876
-4.262 -2.876 3.536
-13.096 0.941 1.669
-8.871 -1.145 -0.603
0.000 0.000 0.000
-12.530 -0.900 5.313
-9.031 0.602 1.865
-7.474 0.775 -1.888
-10.268 -3.066 0.681
-8.710 -2.892 -3.072
-5.211 -1.390 -6.520
-6.584 -2.229 0.379
-2.421 -0.166 -1.812
-7.349 -4.020 5.366
-10.392 1.730 -6.573
-15.320 -2.124 0.605
-11.158 -0.061 -1.586
```

4.
## CsPdI (PBE)

Data for crystalline CsPdI at its relaxed geometry.

## Properties
ΔE_f (raw)   -0.62 eV/atom
Calculated density   5.019 Mg/m³
Volume   40.4 Å³ per atom
Space-group type   Pnma (62)
DOS(E_F)   0.04 states/eV per atom
Calculated total energy   -3.148 eV per atom

POSCAR file:
```
CsPdI
1.0
-0.057 3.719 -10.306
4.423 -1.576 -0.593
-3.326 -8.223 -2.949
Cs I Pd
4 4 4
Cartesian
-0.409 -1.124 -9.502
0.143 -6.256 -10.631
1.449 -4.957 -4.346
0.897 0.175 -3.217
-1.454 -6.701 -2.476
2.392 -1.560 -6.334
2.494 0.620 -11.372
-1.353 -4.521 -7.514
-0.328 -2.088 -6.342
0.246 -8.698 -3.373
1.368 -3.993 -7.506
0.794 2.617 -10.475
```